1.
An optimized crystal structure of Zr4NiW. Source: Alexandria via LeMat-Bulk, functional GGA-PBE.

Cell lengths 5.5725, 5.5725, 5.5725 Å; angles 60.00, 60.00, 60.00 degrees
Element x y z (fractional)
Zr  0.8776  0.3741  0.3741
Zr  0.3741  0.3741  0.8776
Zr  0.3741  0.8776  0.3741
Zr  0.3741  0.3741  0.3741
Ni  0.7500  0.7500  0.7500
W  0.0000  0.0000  0.0000

V in Å³/f.u.: 122.4
ΔH_f (0 K) in eV per atom: 0.7906

=====

2.
An optimized crystal structure of La2CoHg. Source: Alexandria via LeMat-Bulk, functional GGA-PBE.

Cell lengths 3.6070, 3.6070, 7.8216 Å; angles 90.00, 90.00, 90.00 degrees
Element x y z (fractional)
Co  0.5000  0.5000  0.2500
Hg  0.5000  0.5000  0.7500
La  0.0000  0.0000  0.0390
La  0.0000  0.0000  0.4610

V in Å³/f.u.: 101.8
ΔH_f (0 K) in eV per atom: -0.2332

=====

3.
An optimized crystal structure of Nd2Mn2Si2N. Source: Alexandria via LeMat-Bulk, functional GGA-PBE.

Cell lengths 3.9989, 5.8138, 5.8610 Å; angles 73.60, 70.05, 69.88 degrees
Element x y z (fractional)
Nd  0.5590  0.1771  0.7049
Nd  0.4410  0.8229  0.2951
Mn  0.1942  0.7006  0.9110
Mn  0.8058  0.2994  0.0890
Si  0.1717  0.3898  0.2668
Si  0.8283  0.6102  0.7332
N  0.0000  0.0000  0.0000

V in Å³/f.u.: 118.2
E_form (uncorrected) in kJ/mol of formula units: -524.9

=====

4.
An optimized crystal structure of Al2BiB. Source: Alexandria via LeMat-Bulk, functional GGA-PBE.

Cell lengths 4.7829, 4.7829, 4.7829 Å; angles 60.00, 60.00, 60.00 degrees
Element x y z (fractional)
B  0.0000  0.0000  0.0000
Bi  0.5000  0.5000  0.5000
Al  0.2500  0.2500  0.2500
Al  0.7500  0.7500  0.7500

V in Å³/f.u.: 77.4
ΔH_f (0 K) in eV per atom: 1.0482
Distance to the lowest polymorph of the same formula in eV/atom: 0.631

=====

5.
An optimized crystal structure of Sc3FeAg. Source: Alexandria via LeMat-Bulk, functional GGA-PBE.

Cell lengths 3.3426, 8.0041, 8.0199 Å; angles 108.99, 90.00, 90.00 degrees
Element x y z (fractional)
Sc  0.2500  0.5761  0.3274
Sc  0.7500  0.4239  0.6726
Sc  0.2500  0.0824  0.6930
Sc  0.7500  0.2144  0.0592
Sc  0.7500  0.9176  0.3070
Sc  0.2500  0.7856  0.9408
Fe  0.7500  0.5926  0.0684
Fe  0.2500  0.4074  0.9316
Ag  0.7500  0.7814  0.6351
Ag  0.2500  0.2186  0.3649

V in Å³/f.u.: 101.4
ΔH_f (0 K) in eV per atom: -0.1389
Distance to the lowest polymorph of the same formula in eV/atom: 0.000

=====

6.
An optimized crystal structure of CaY4As. Source: Alexandria via LeMat-Bulk, functional GGA-PBE.

Cell lengths 6.5252, 6.5252, 6.5252 Å; angles 60.00, 60.00, 60.00 degrees
Element x y z (fractional)
Ca  0.0000  0.0000  0.0000
Y  0.8758  0.3747  0.3747
Y  0.3747  0.3747  0.8758
Y  0.3747  0.8758  0.3747
Y  0.3747  0.3747  0.3747
As  0.7500  0.7500  0.7500

V in Å³/f.u.: 196.5
ΔH_f (0 K) in eV per atom: 0.2827

=====

- V of number 1 (Zr4NiW)?
  122.4 Å³/f.u.

=====

- Among the records above, which one has the lowest V?
  Al2BiB

=====

- The highest V belongs to which entry?
  CaY4As